Sm3AlSi | GGA-PBE | optimized geometry

The value obtained for the raw total energy is -5.0427 eV per atom. As for the uncorrected formation energy: -1.9 eV/f.u. The calculation puts the density of states at the Fermi level at 4.30 states/eV/f.u.

It has space group C2/m (No. 12), with a = 15.055 Å, b = 4.176 Å, c = 8.623 Å, α = 90.00°, β = 92.30° and γ = 90.00°. Symmetry generates all atoms from Sm at (0.049, 0.000, 0.171), Sm at (0.091, 0.500, 0.593), Sm at (0.236, 0.000, 0.823), Al at (0.205, 0.000, 0.436) and Si at (0.107, 0.500, 0.937).